1.
Compound: NaPmMgSi
Source: Alexandria via LeMat-Bulk
Functional: PBE-GGA
Structure: relaxed

Computed properties:
Its density of states at the Fermi level is 9.3 states/eV/cell.

a b c (Å): 7.122 7.122 7.122
angles (deg): 90.00 90.00 90.00
Space group F-43m (No. 216)
Symmetry-distinct sites (fractional):
Na  0.000  0.000  0.000 x4
Pm  0.250  0.250  0.750 x4
Mg  0.250  0.250  0.250 x4
Si  0.000  0.000  0.500 x4


2.
Compound: TlFeSeBr2
Source: Alexandria via LeMat-Bulk
Functional: PBE-GGA
Structure: relaxed

Computed properties:
Its density of states at the Fermi level is 7.1 states/eV/cell.

a b c (Å): 5.319 5.319 4.490
angles (deg): 90.00 90.00 90.00
Space group P4/mmm (No. 123)
Symmetry-distinct sites (fractional):
Tl  0.000  0.000  0.000 x1
Fe  0.500  0.500  0.500 x1
Se  0.500  0.500  0.000 x1
Br  0.000  0.500  0.500 x2


3.
Compound: Rb3ZnSb2
Source: Alexandria via LeMat-Bulk
Functional: PBE-GGA
Structure: relaxed

Computed properties:
Its density of states at the Fermi level is 24.7 states/eV/cell.

a b c (Å): 9.236 15.106 7.373
angles (deg): 90.00 90.00 90.00
Space group Ibam (No. 72)
Symmetry-distinct sites (fractional):
Rb  0.000  0.000  0.250 x4
Rb  0.182  0.324  0.000 x8
Zn  0.000  0.500  0.250 x4
Sb  0.179  0.415  0.500 x8


For reference, formation energy (no corrections) by record: -0.037 -0.152 -0.291 eV/atom.